! GeMo3Pt | Alexandria | PBEsol | relaxed; values from VASP
&SYSTEM
  ibrav = 0, nat = 5, ntyp = 3
/
ATOMIC_SPECIES
Mo 95.94 Mo.upf
Ge 72.64 Ge.upf
Pt 195.08 Pt.upf
ATOMIC_POSITIONS crystal
Mo 0.000 0.500 0.000
Mo 0.000 0.000 0.500
Mo 0.500 0.000 0.000
Ge 0.000 0.000 0.000
Pt 0.500 0.500 0.500
CELL_PARAMETERS angstrom
-2.585 3.652 0.286
-2.396 -1.422 -3.513
-2.771 -2.178 2.771
! * E_form: 134.4 kJ per mole of atoms

! RbGeMo3 | Alexandria | PBEsol | relaxed; values from VASP
&SYSTEM
  ibrav = 0, nat = 5, ntyp = 3
/
ATOMIC_SPECIES
Mo 95.94 Mo.upf
Ge 72.64 Ge.upf
Rb 85.47 Rb.upf
ATOMIC_POSITIONS crystal
Mo 0.000 0.500 0.000
Mo 0.000 0.000 0.500
Mo 0.500 0.000 0.000
Ge 0.500 0.500 0.500
Rb 0.000 0.000 0.000
CELL_PARAMETERS angstrom
-2.994 -0.877 -3.427
3.432 0.369 -3.092
0.858 -4.535 0.411
! * E_form: 317.2 kJ per mole of atoms

! RbSn2GeMo | Alexandria | PBEsol | relaxed; values from VASP
&SYSTEM
  ibrav = 0, nat = 5, ntyp = 4
/
ATOMIC_SPECIES
Mo 95.94 Mo.upf
Ge 72.64 Ge.upf
Sn 118.71 Sn.upf
Rb 85.47 Rb.upf
ATOMIC_POSITIONS crystal
Mo 0.000 0.000 0.000
Ge 0.500 0.000 0.000
Sn 0.000 0.000 0.500
Sn 0.000 0.500 0.000
Rb 0.500 0.500 0.500
CELL_PARAMETERS angstrom
4.931 0.000 0.000
0.000 5.271 0.000
0.000 0.000 5.271
! * E_form: 8.0 kJ per mole of atoms

! Ta2ReGeMo | Alexandria | PBEsol | relaxed; values from VASP
&SYSTEM
  ibrav = 0, nat = 5, ntyp = 4
/
ATOMIC_SPECIES
Re 186.21 Re.upf
Mo 95.94 Mo.upf
Ge 72.64 Ge.upf
Ta 180.95 Ta.upf
ATOMIC_POSITIONS crystal
Re 0.500 0.500 0.500
Mo 0.500 0.000 0.000
Ge 0.000 0.000 0.000
Ta 0.000 0.000 0.500
Ta 0.000 0.500 0.000
CELL_PARAMETERS angstrom
4.438 0.000 0.000
0.000 4.607 0.000
0.000 0.000 4.607
! * E_form: 142.8 kJ per mole of atoms

! ZnReGeMo2 | Alexandria | PBEsol | relaxed; values from VASP
&SYSTEM
  ibrav = 0, nat = 5, ntyp = 4
/
ATOMIC_SPECIES
Re 186.21 Re.upf
Mo 95.94 Mo.upf
Ge 72.64 Ge.upf
Zn 65.41 Zn.upf
ATOMIC_POSITIONS crystal
Re 0.500 0.500 0.500
Mo 0.000 0.000 0.500
Mo 0.000 0.500 0.000
Ge 0.500 0.000 0.000
Zn 0.000 0.000 0.000
CELL_PARAMETERS angstrom
4.117 0.000 0.000
0.000 4.583 0.000
0.000 0.000 4.583
! * E_form: 184.0 kJ per mole of atoms

! Si2GeMoS | Alexandria | PBEsol | relaxed; values from VASP
&SYSTEM
  ibrav = 0, nat = 5, ntyp = 4
/
ATOMIC_SPECIES
S 32.06 S.upf
Mo 95.94 Mo.upf
Si 28.09 Si.upf
Ge 72.64 Ge.upf
ATOMIC_POSITIONS crystal
S 0.500 0.500 0.500
Mo 0.000 0.000 0.500
Si 0.000 0.500 0.000
Si 0.500 0.000 0.000
Ge 0.000 0.000 0.000
CELL_PARAMETERS angstrom
4.569 0.000 0.000
0.000 4.569 0.000
0.000 0.000 4.879
! * formation energy from raw total energies: 134 kJ/mol of atoms

! GeSb2TeMo | Alexandria | PBEsol | relaxed; values from VASP
&SYSTEM
  ibrav = 0, nat = 5, ntyp = 4
/
ATOMIC_SPECIES
Sb 121.76 Sb.upf
Mo 95.94 Mo.upf
Te 127.60 Te.upf
Ge 72.64 Ge.upf
ATOMIC_POSITIONS crystal
Sb 0.000 0.500 0.000
Sb 0.500 0.000 0.000
Mo 0.500 0.500 0.500
Te 0.000 0.000 0.500
Ge 0.000 0.000 0.000
CELL_PARAMETERS angstrom
5.132 0.000 0.000
0.000 5.132 0.000
0.000 0.000 5.279
! * formation energy from raw total energies: 125 kJ/mol of atoms

! Sc2Ge4Mo3 | Alexandria | PBEsol | relaxed; values from VASP
&SYSTEM
  ibrav = 0, nat = 36, ntyp = 3
/
ATOMIC_SPECIES
Sc 44.96 Sc.upf
Ge 72.64 Ge.upf
Mo 95.94 Mo.upf
ATOMIC_POSITIONS crystal
Sc 0.511 0.327 0.590
Sc 0.011 0.173 0.910
Sc 0.489 0.673 0.090
Sc 0.989 0.827 0.410
Sc 0.489 0.673 0.410
Sc 0.989 0.827 0.090
Sc 0.511 0.327 0.910
Sc 0.011 0.173 0.590
Ge 0.324 0.042 0.455
Ge 0.824 0.458 0.045
Ge 0.676 0.958 0.955
Ge 0.176 0.542 0.545
Ge 0.676 0.958 0.545
Ge 0.176 0.542 0.955
Ge 0.324 0.042 0.045
Ge 0.824 0.458 0.455
Ge 0.528 0.621 0.750
Ge 0.028 0.879 0.750
Ge 0.472 0.379 0.250
Ge 0.972 0.121 0.250
Ge 0.307 0.155 0.750
Ge 0.807 0.345 0.750
Ge 0.693 0.845 0.250
Ge 0.193 0.655 0.250
Mo 0.330 0.844 0.626
Mo 0.830 0.656 0.874
Mo 0.670 0.156 0.126
Mo 0.170 0.344 0.374
Mo 0.670 0.156 0.374
Mo 0.170 0.344 0.126
Mo 0.330 0.844 0.874
Mo 0.830 0.656 0.626
Mo 0.162 0.504 0.750
Mo 0.662 0.996 0.750
Mo 0.838 0.496 0.250
Mo 0.338 0.004 0.250
CELL_PARAMETERS angstrom
-2.458 -3.978 -4.722
5.970 0.265 -3.330
4.073 -10.219 6.490
! * E_form: -58.7 kJ per mole of atoms